{
  "formula": "TaF",
  "functional": "GGA-PBE",
  "state": "relaxed",
  "final_energy_ev_per_atom": -7.2473,
  "e_form_raw_ev_per_atom": -0.3853,
  "lattice_angstrom": [[-0.300, 0.220, 8.595], [-8.179, -2.657, -0.217], [2.649, -8.179, 0.302]],
  "species": ["Ta", "Ta", "Ta", "Ta", "Ta", "Ta", "Ta", "Ta", "F", "F", "F", "F", "F", "F", "F", "F"],
  "frac_coords": [[0.390, 0.390, 0.390], [0.390, 0.610, 0.610], [0.610, 0.390, 0.610], [0.610, 0.610, 0.390], [0.890, 0.890, 0.890], [0.890, 0.110, 0.110], [0.110, 0.890, 0.110], [0.110, 0.110, 0.890], [0.256, 0.256, 0.256], [0.256, 0.744, 0.744], [0.744, 0.256, 0.744], [0.744, 0.744, 0.256], [0.756, 0.756, 0.756], [0.756, 0.244, 0.244], [0.244, 0.756, 0.244], [0.244, 0.244, 0.756]]
}


{
  "formula": "Cs3Ce2AgS6",
  "functional": "GGA-PBE",
  "state": "relaxed",
  "final_energy_ev_per_atom": -4.8746,
  "e_form_raw_ev_per_atom": -1.3709,
  "lattice_angstrom": [[7.298, -0.105, 0.025], [-3.738, 6.269, 0.025], [-1.160, -2.009, 7.974]],
  "species": ["Cs", "Cs", "Cs", "Ce", "Ce", "Ag", "S", "S", "S", "S", "S", "S"],
  "frac_coords": [[0.155, 0.845, 0.500], [0.845, 0.155, 0.500], [0.500, 0.500, 0.500], [0.334, 0.666, 0.000], [0.666, 0.334, 0.000], [0.000, 0.000, 0.000], [0.941, 0.575, 0.810], [0.718, 0.718, 0.172], [0.059, 0.425, 0.190], [0.575, 0.941, 0.810], [0.282, 0.282, 0.828], [0.425, 0.059, 0.190]]
}


{
  "formula": "Pt6Rh",
  "functional": "GGA-PBE",
  "state": "relaxed",
  "final_energy_ev_per_atom": -6.1258,
  "formation_enthalpy_0k_ev_per_atom": 0.102,
  "lattice_angstrom": [[4.216, 0.000, 1.447], [1.860, 3.784, 1.447], [-0.004, -0.002, 6.875]],
  "species": ["Pt", "Pt", "Pt", "Pt", "Pt", "Pt", "Rh"],
  "frac_coords": [[0.713, 0.713, 0.860], [0.428, 0.428, 0.715], [0.142, 0.142, 0.573], [0.858, 0.858, 0.427], [0.572, 0.572, 0.285], [0.287, 0.287, 0.140], [0.000, 0.000, 0.000]]
}


{
  "formula": "Sc4In2GaHg",
  "functional": "GGA-PBE",
  "state": "relaxed",
  "final_energy_ev_per_atom": -4.7110,
  "formation_enthalpy_0k_ev_per_atom": -0.445,
  "lattice_angstrom": [[-1.184, -1.086, -4.700], [3.582, -0.952, -3.307], [0.465, -8.531, -0.772]],
  "species": ["Sc", "Sc", "Sc", "Sc", "In", "In", "Ga", "Hg"],
  "frac_coords": [[0.378, 0.378, 0.866], [0.873, 0.873, 0.382], [0.127, 0.127, 0.618], [0.622, 0.622, 0.134], [0.748, 0.748, 0.757], [0.252, 0.252, 0.243], [0.500, 0.500, 0.500], [0.000, 0.000, 0.000]]
}


{
  "formula": "Tl12CdHg6",
  "functional": "GGA-PBE",
  "state": "relaxed",
  "final_energy_ev_per_atom": -1.6091,
  "formation_enthalpy_0k_ev_per_atom": 0.029,
  "lattice_angstrom": [[8.533, -0.099, -2.789], [-3.818, 7.631, -2.789], [-0.062, -0.099, 8.977]],
  "species": ["Tl", "Tl", "Tl", "Tl", "Tl", "Tl", "Tl", "Tl", "Tl", "Tl", "Tl", "Tl", "Cd", "Hg", "Hg", "Hg", "Hg", "Hg", "Hg"],
  "frac_coords": [[0.544, 0.194, 0.555], [0.194, 0.555, 0.544], [0.555, 0.544, 0.194], [0.456, 0.806, 0.445], [0.806, 0.445, 0.456], [0.445, 0.456, 0.806], [0.277, 0.006, 0.741], [0.259, 0.723, 0.994], [0.994, 0.259, 0.723], [0.723, 0.994, 0.259], [0.741, 0.277, 0.006], [0.006, 0.741, 0.277], [0.000, 0.000, 0.000], [0.148, 0.158, 0.398], [0.842, 0.602, 0.852], [0.602, 0.852, 0.842], [0.852, 0.842, 0.602], [0.158, 0.398, 0.148], [0.398, 0.148, 0.158]]
}


{
  "formula": "As2HPdBr",
  "functional": "GGA-PBE",
  "state": "relaxed",
  "final_energy_ev_per_atom": -3.3394,
  "lattice_angstrom": [[3.974, 0.000, 0.000], [0.000, 3.974, 0.000], [0.000, 0.000, 5.416]],
  "species": ["H", "As", "As", "Br", "Pd"],
  "frac_coords": [[0.000, 0.000, 0.000], [0.000, 0.500, 0.000], [0.500, 0.000, 0.000], [0.000, 0.000, 0.500], [0.500, 0.500, 0.500]]
}


{
  "formula": "Er4AgHg7",
  "functional": "GGA-PBE",
  "state": "relaxed",
  "final_energy_ev_per_atom": -2.1700,
  "formation_enthalpy_0k_ev_per_atom": -0.235,
  "lattice_angstrom": [[-1.128, -5.183, 0.082], [7.998, -4.496, -2.565], [1.898, -3.034, 5.962]],
  "species": ["Er", "Er", "Er", "Er", "Ag", "Hg", "Hg", "Hg", "Hg", "Hg", "Hg", "Hg"],
  "frac_coords": [[0.580, 0.224, 0.616], [0.420, 0.776, 0.384], [0.736, 0.686, 0.843], [0.264, 0.314, 0.157], [0.000, 0.000, 0.000], [0.807, 0.920, 0.465], [0.193, 0.080, 0.535], [0.075, 0.661, 0.188], [0.925, 0.339, 0.812], [0.359, 0.535, 0.747], [0.500, 0.000, 0.000], [0.641, 0.465, 0.253]]
}


{
  "formula": "KZr2As",
  "functional": "GGA-PBE",
  "state": "relaxed",
  "final_energy_ev_per_atom": -5.6935,
  "formation_enthalpy_0k_ev_per_atom": 0.017,
  "lattice_angstrom": [[5.040, 0.001, 0.058], [3.815, 3.293, 0.058], [2.096, 0.780, 7.527]],
  "species": ["As", "K", "Zr", "Zr"],
  "frac_coords": [[0.511, 0.511, 0.632], [0.188, 0.188, 0.270], [0.021, 0.021, 0.897], [0.780, 0.780, 0.701]]
}


{
  "formula": "KCrOs2",
  "functional": "GGA-PBE",
  "state": "relaxed",
  "final_energy_ev_per_atom": -6.8593,
  "formation_enthalpy_0k_ev_per_atom": 1.436,
  "lattice_angstrom": [[-2.443, -1.280, 0.380], [1.229, -1.009, 4.497], [-2.082, 4.437, 1.565]],
  "species": ["Cr", "K", "Os", "Os"],
  "frac_coords": [[0.500, 0.000, 0.500], [0.000, 0.500, 0.500], [0.000, 0.000, 0.000], [0.500, 0.500, 0.000]]
}


{
  "formula": "Al2TcOs",
  "functional": "GGA-PBE",
  "state": "relaxed",
  "final_energy_ev_per_atom": -7.4310,
  "formation_enthalpy_0k_ev_per_atom": -0.161,
  "lattice_angstrom": [[-0.982, 3.259, -7.790], [1.154, 1.466, -8.294], [-1.521, 0.533, -8.347]],
  "species": ["Os", "Tc", "Al", "Al"],
  "frac_coords": [[0.250, 0.250, 0.250], [0.750, 0.750, 0.750], [0.999, 0.999, 0.999], [0.501, 0.501, 0.501]]
}


{
  "formula": "Si2SnPb",
  "functional": "GGA-PBE",
  "state": "relaxed",
  "final_energy_ev_per_atom": -4.3367,
  "e_form_raw_ev_per_atom": 0.3026,
  "lattice_angstrom": [[-2.278, 4.577, -3.437], [-0.475, -3.838, -4.796], [-7.077, -1.138, -2.346]],
  "species": ["Pb", "Pb", "Si", "Si", "Si", "Si", "Sn", "Sn"],
  "frac_coords": [[0.000, 0.000, 0.000], [0.750, 0.250, 0.500], [0.615, 0.125, 0.250], [0.135, 0.625, 0.250], [0.375, 0.385, 0.750], [0.875, 0.865, 0.750], [0.500, 0.500, 0.000], [0.250, 0.750, 0.500]]
}


{
  "formula": "RbSnHg3",
  "functional": "GGA-PBE",
  "state": "relaxed",
  "final_energy_ev_per_atom": -1.3296,
  "formation_enthalpy_0k_ev_per_atom": -0.154,
  "lattice_angstrom": [[-2.047, -6.102, -2.032], [5.072, -4.355, -0.925], [-0.602, -2.288, 7.477]],
  "species": ["Rb", "Rb", "Sn", "Sn", "Hg", "Hg", "Hg", "Hg", "Hg", "Hg"],
  "frac_coords": [[0.041, 0.243, 0.052], [0.520, 0.722, 0.552], [0.910, 0.113, 0.552], [0.651, 0.853, 0.052], [0.168, 0.371, 0.552], [0.392, 0.595, 0.052], [0.546, 0.217, 0.802], [0.546, 0.217, 0.302], [0.015, 0.748, 0.302], [0.015, 0.748, 0.802]]
}


{
  "formula": "Ti7Al4Sn",
  "functional": "GGA-PBE",
  "state": "relaxed",
  "final_energy_ev_per_atom": -6.1889,
  "formation_enthalpy_0k_ev_per_atom": -0.002,
  "lattice_angstrom": [[-1.011, -0.025, -4.872], [-5.811, -4.995, -1.310], [-5.799, 2.865, -1.353]],
  "species": ["Ti", "Ti", "Ti", "Ti", "Ti", "Ti", "Ti", "Al", "Al", "Al", "Al", "Sn"],
  "frac_coords": [[0.798, 0.884, 0.520], [0.202, 0.116, 0.480], [0.076, 0.577, 0.271], [0.924, 0.423, 0.729], [0.235, 0.731, 0.798], [0.500, 0.000, 0.000], [0.765, 0.269, 0.202], [0.549, 0.304, 0.599], [0.451, 0.696, 0.401], [0.680, 0.648, 0.992], [0.320, 0.352, 0.008], [0.000, 0.000, 0.000]]
}


{
  "formula": "PrSnSe2",
  "functional": "GGA-PBE",
  "state": "relaxed",
  "final_energy_ev_per_atom": -4.9781,
  "e_form_raw_ev_per_atom": -1.0403,
  "lattice_angstrom": [[-3.749, -0.312, -1.752], [-0.370, -1.481, -3.859], [-2.083, -7.652, 0.905]],
  "species": ["Pr", "Sn", "Se", "Se"],
  "frac_coords": [[0.500, 0.500, 0.500], [0.665, 0.665, 0.004], [0.084, 0.084, 0.748], [0.251, 0.251, 0.248]]
}


{
  "formula": "PuSc3Os",
  "functional": "GGA-PBE",
  "state": "relaxed",
  "final_energy_ev_per_atom": -9.0792,
  "formation_enthalpy_0k_ev_per_atom": -0.168,
  "lattice_angstrom": [[3.196, 0.000, -0.591], [-0.356, 7.893, -1.928], [-0.029, -0.182, 8.779]],
  "species": ["Pu", "Pu", "Sc", "Sc", "Sc", "Sc", "Sc", "Sc", "Os", "Os"],
  "frac_coords": [[0.816, 0.065, 0.891], [0.014, 0.159, 0.285], [0.612, 0.909, 0.481], [0.218, 0.315, 0.694], [0.411, 0.423, 0.080], [0.234, 0.724, 0.725], [0.419, 0.802, 0.096], [0.597, 0.500, 0.450], [0.016, 0.666, 0.289], [0.814, 0.559, 0.886]]
}


{
  "formula": "FeAs4",
  "functional": "GGA-PBE",
  "state": "relaxed",
  "final_energy_ev_per_atom": -5.2765,
  "formation_enthalpy_0k_ev_per_atom": 0.136,
  "lattice_angstrom": [[4.884, 3.059, -0.097], [-2.550, -4.623, 2.312], [0.684, -2.305, -5.239]],
  "species": ["Fe", "As", "As", "As", "As"],
  "frac_coords": [[0.000, 0.000, 0.000], [0.727, 0.468, 0.196], [0.468, 0.273, 0.741], [0.273, 0.532, 0.804], [0.532, 0.727, 0.259]]
}


{
  "formula": "TaCu2Pb",
  "functional": "GGA-PBE",
  "state": "relaxed",
  "final_energy_ev_per_atom": -5.5081,
  "formation_enthalpy_0k_ev_per_atom": 0.430,
  "lattice_angstrom": [[4.772, -0.027, 0.001], [3.818, 2.862, 0.001], [0.701, 0.231, 5.225]],
  "species": ["Cu", "Cu", "Pb", "Ta"],
  "frac_coords": [[0.990, 0.990, 0.059], [0.510, 0.510, 0.441], [0.750, 0.750, 0.750], [0.250, 0.250, 0.250]]
}


{
  "formula": "Cu2AgPd",
  "functional": "GGA-PBE",
  "state": "relaxed",
  "final_energy_ev_per_atom": -4.0819,
  "formation_enthalpy_0k_ev_per_atom": -0.023,
  "lattice_angstrom": [[2.926, 0.000, 0.000], [0.000, 2.926, 0.000], [0.000, 0.000, 6.699]],
  "species": ["Cu", "Cu", "Pd", "Ag"],
  "frac_coords": [[0.000, 0.000, 0.761], [0.000, 0.000, 0.239], [0.500, 0.500, 0.000], [0.500, 0.500, 0.500]]
}